(1)
5
Lattice="3.602 0.000 0.000 0.000 3.602 0.000 0.000 0.000 5.038" Properties=species:S:1:pos:R:3 comment="GePSeN2 (PBE, relaxed)" e_above_lowest_polymorph_ev_per_fu=0.00 e_form_raw_ev_per_atom=0.9345 m_tot_mub_per_cell=0.36 pbc="T T T"
P 0.000 0.000 0.000
Ge 1.801 1.801 2.519
Se 0.000 0.000 2.519
N 0.000 1.801 0.000
N 1.801 0.000 0.000

=====

(2)
5
Lattice="4.087 0.000 0.000 0.000 4.087 0.000 0.000 0.000 4.087" Properties=species:S:1:pos:R:3 comment="Be3GeIr (PBE, relaxed)" e_above_lowest_polymorph_ev_per_fu=3.21 m_tot_mub_per_cell=0.00 formation_energy_ev_per_atom=1.0447 pbc="T T T"
Be 0.000 2.043 0.000
Be 0.000 0.000 2.043
Be 2.043 0.000 0.000
Ge 0.000 0.000 0.000
Ir 2.043 2.043 2.043

=====

(3)
4
Lattice="3.179 0.000 0.000 0.000 3.102 0.000 0.000 0.000 9.395" Properties=species:S:1:pos:R:3 comment="Pa3Mo (PBE, relaxed)" e_above_lowest_polymorph_ev_per_fu=0.74 m_tot_mub_per_cell=0.00 formation_energy_ev_per_atom=0.3753 pbc="T T T"
Mo 0.000 0.000 9.089
Pa 0.000 1.551 4.330
Pa 1.589 1.551 1.673
Pa 1.589 0.000 6.831

=====

(4)
4
Lattice="4.113 0.001 0.004 -2.056 3.554 -0.014 -0.002 -2.354 8.516" Properties=species:S:1:pos:R:3 comment="Nd2MgIr (PBE, relaxed)" e_above_lowest_polymorph_ev_per_fu=0.22 m_tot_mub_per_cell=0.00 formation_energy_ev_per_atom=-0.2988 pbc="T T T"
Nd 2.561 0.800 3.127
Nd 0.498 -0.380 6.273
Mg -1.558 3.163 0.431
Ir 0.502 1.987 4.693

=====

(5)
4
Lattice="4.791 0.000 0.000 2.396 4.149 0.000 2.396 1.383 3.912" Properties=species:S:1:pos:R:3 comment="ErSiAu2 (PBE, relaxed)" e_form_raw_ev_per_atom=-0.4763 m_tot_mub_per_cell=0.00 pbc="T T T"
Si 4.791 2.766 1.956
Au 2.396 1.383 0.978
Au 7.187 4.149 2.934
Er 0.000 0.000 0.000

=====

(6)
4
Lattice="2.959 -2.909 -2.932 0.246 -5.009 0.815 -2.097 -3.221 -3.324" Properties=species:S:1:pos:R:3 comment="LaCrSe2 (PBE, relaxed)" e_above_lowest_polymorph_ev_per_fu=0.69 e_form_raw_ev_per_atom=-0.9318 m_tot_mub_per_cell=5.00 pbc="T T T"
Cr 0.000 0.000 0.000
Se 0.277 -2.785 -1.360
Se 0.831 -8.354 -4.080
La 0.554 -5.570 -2.720

=====

(7)
20
Lattice="-4.239 2.538 0.634 -2.581 -4.254 -0.232 2.121 -2.638 24.725" Properties=species:S:1:pos:R:3 comment="Dy15Ho4Mg (PBE, relaxed)" m_tot_mub_per_cell=0.00 formation_energy_ev_per_atom=0.0180 pbc="T T T"
Dy -3.410 -0.858 0.201
Dy -2.993 -1.377 5.062
Dy -2.564 -1.911 10.066
Dy -2.135 -2.444 15.060
Dy -1.706 -2.978 20.064
Dy -1.911 1.009 2.749
Dy -1.486 0.481 7.704
Dy -1.059 -0.050 12.680
Dy -0.632 -0.581 17.656
Dy -0.207 -1.110 22.611
Dy -1.082 -2.386 2.315
Dy -0.657 -2.915 7.270
Dy -0.230 -3.446 12.246
Dy 0.197 -3.977 17.222
Dy 0.622 -4.506 22.177
Ho 0.420 -0.522 4.894
Ho 0.847 -1.054 9.874
Ho 1.274 -1.585 14.851
Ho 1.701 -2.116 19.831
Mg 0.000 0.000 0.000

=====

(8)
4
Lattice="4.530 0.000 0.000 0.000 4.804 0.000 0.000 0.000 4.804" Properties=species:S:1:pos:R:3 comment="NdCdSn2 (PBE, relaxed)" e_above_lowest_polymorph_ev_per_fu=0.00 m_tot_mub_per_cell=0.00 formation_energy_ev_per_atom=-0.5045 pbc="T T T"
Nd 2.265 2.402 2.402
Sn 0.000 0.000 2.402
Sn 0.000 2.402 0.000
Cd 2.265 0.000 0.000

=====

(9)
4
Lattice="-0.744 2.512 3.227 -0.142 -4.124 0.501 7.783 -0.342 -0.615" Properties=species:S:1:pos:R:3 comment="AcTbPSe (PBE, relaxed)" e_form_raw_ev_per_atom=-1.6409 m_tot_mub_per_cell=0.00 pbc="T T T"
Ac 0.491 -3.681 0.808
Tb 4.633 0.420 1.248
P 6.307 -1.800 0.686
Se 2.213 0.730 3.124

=====

(10)
6
Lattice="5.299 0.003 0.006 -1.002 7.124 -0.011 -1.006 -0.133 3.100" Properties=species:S:1:pos:R:3 comment="LiPtCl (PBE, relaxed)" e_above_lowest_polymorph_ev_per_fu=0.42 e_form_raw_ev_per_atom=-0.6875 m_tot_mub_per_cell=0.00 pbc="T T T"
Li 1.026 6.758 0.775
Li -0.124 2.582 1.931
Pt 2.751 2.148 1.130
Pt 3.466 0.555 3.010
Cl -1.223 6.267 1.739
Cl 1.327 4.022 0.748

=====

(11)
12
Lattice="4.441 0.000 0.000 0.000 8.957 0.484 -2.221 -2.415 9.393" Properties=species:S:1:pos:R:3 comment="La6InGe2Br3 (PBE, relaxed)" e_form_raw_ev_per_atom=-1.0948 m_tot_mub_per_cell=0.00 pbc="T T T"
La 0.000 6.383 6.681
La 2.221 4.276 3.530
La 2.221 0.159 3.196
La 0.000 2.269 0.280
La 2.221 4.274 9.597
La 0.000 2.267 6.347
In 2.221 0.000 0.000
Ge 2.221 4.330 6.556
Ge 0.000 2.212 3.321
Br 2.221 4.479 0.242
Br 2.221 -0.130 6.363
Br 0.000 6.672 3.514

=====

(12)
10
Lattice="8.147 0.000 0.000 4.073 7.055 0.000 4.073 2.352 6.652" Properties=species:S:1:pos:R:3 comment="Cs2AgHg7 (PBE, relaxed)" m_tot_mub_per_cell=0.00 formation_energy_ev_per_atom=-0.1258 pbc="T T T"
Cs 4.073 2.352 1.663
Cs 12.220 7.055 4.989
Ag 0.000 0.000 0.000
Hg 8.147 4.703 3.326
Hg 8.147 7.108 5.026
Hg 6.065 5.906 1.626
Hg 10.229 3.501 5.026
Hg 10.229 5.906 1.626
Hg 6.065 3.501 5.026
Hg 8.147 2.299 1.626

=====

Computed VASP energy, in the same sequence as the records: -0.37469, -0.28567, -0.69489, -0.38929, -0.33893, -0.46390, -0.32552, -0.28860, -0.44461, -0.29066, -0.36562, -0.05828 Ry per atom.
Computed N(E_F), in the same sequence as the records: 2.893, 2.947, 9.296, 3.205, 1.604, 0.017, 25.728, 1.427, 2.418, 0.000, 6.490, 6.385 states/eV/cell.